No. 1
This record from Alexandria via LeMat-Bulk describes a geometry-optimized LiCdMo2O8 structure. The functional is PBE with a Hubbard U.

Lattice parameters (Å, degrees): 6.1255 6.1255 6.1255 108.91 108.91 110.61
Closest atoms and distances in Å follow each position.
Positions (direct):
Li 0.0000 0.0000 0.0000  4 O 2.21
Cd 0.7500 0.2500 0.5000  4 O 2.22
Mo 0.2500 0.7500 0.5000  4 O 1.80
Mo 0.5000 0.5000 0.0000  4 O 1.79
O 0.0994 0.3934 0.2939  1 Mo 1.80
O 0.0994 0.8055 0.7061  1 Mo 1.80
O 0.1455 0.3489 0.7967  1 Mo 1.79
O 0.1945 0.9006 0.2939  1 Mo 1.80
O 0.5522 0.3489 0.2033  1 Mo 1.79
O 0.6066 0.9006 0.7061  1 Mo 1.80
O 0.6511 0.4478 0.7967  1 Mo 1.79
O 0.6511 0.8545 0.2033  1 Mo 1.79

Properties
SG: No. 119
total DFT energy (no corrections): -6.093 eV per atom

=====

No. 2
This record from Alexandria via LeMat-Bulk describes a geometry-optimized Li3Cd2MoO6 structure. The functional is PBE with a Hubbard U.

Lattice parameters (Å, degrees): 5.7291 5.7291 5.2682 98.51 98.51 122.45
Closest atoms and distances in Å follow each position.
Positions (direct):
Li 0.0000 0.0000 0.0000  6 O 2.24-2.40
Li 0.3574 0.6426 0.0000  4 O 2.07-2.11
Li 0.6426 0.3574 0.0000  4 O 2.07-2.11
Cd 0.1745 0.8255 0.5000  6 O 2.32-2.41
Cd 0.8255 0.1745 0.5000  6 O 2.32-2.41
Mo 0.5000 0.5000 0.5000  6 O 1.96-2.06
O 0.1370 0.4243 0.2554  1 Mo 2.06, 2 Li 2.07-2.24
O 0.2813 0.2813 0.7312  1 Mo 1.96, 2 Li 2.11
O 0.4243 0.1370 0.2554  1 Mo 2.06, 2 Li 2.07-2.24
O 0.5757 0.8630 0.7446  1 Mo 2.06, 2 Li 2.07-2.24
O 0.7187 0.7187 0.2688  1 Mo 1.96, 2 Li 2.11
O 0.8630 0.5757 0.7446  1 Mo 2.06, 2 Li 2.07-2.24

Properties
SG: No. 12
total DFT energy (no corrections): -5.253 eV per atom

=====

No. 3
This record from Alexandria via LeMat-Bulk describes a geometry-optimized LiCdMoO4 structure. The functional is PBE with a Hubbard U.

Lattice parameters (Å, degrees): 6.0831 6.0831 6.0831 117.06 109.31 102.38
Closest atoms and distances in Å follow each position.
Positions (direct):
Li 0.0000 0.0000 0.0000  2 O 1.91
Li 0.5000 0.0000 0.5000  2 O 1.91
Cd 0.5000 0.0000 0.0000  6 O 2.27-2.46
Cd 0.5000 0.5000 0.5000  6 O 2.27-2.46
Mo 0.0303 0.2803 0.7500  4 O 1.92-2.01
Mo 0.9697 0.7197 0.2500  4 O 1.92-2.01
O 0.1776 0.1653 0.4876  2 Mo 2.01-2.19
O 0.1776 0.6900 0.0124  2 Mo 2.01-2.19
O 0.2695 0.2492 0.0203  1 Li 1.91, 1 Mo 1.92
O 0.2712 0.7508 0.5203  1 Li 1.91, 1 Mo 1.92
O 0.7288 0.2492 0.4797  1 Li 1.91, 1 Mo 1.92
O 0.7305 0.7508 0.9797  1 Li 1.91, 1 Mo 1.92
O 0.8224 0.3100 0.9876  2 Mo 2.01-2.19
O 0.8224 0.8347 0.5124  2 Mo 2.01-2.19

Properties
SG: No. 74
total DFT energy (no corrections): -5.776 eV per atom

=====

No. 4
This record from Alexandria via LeMat-Bulk describes a geometry-optimized Li2Cd2MoO6 structure. The functional is PBE with a Hubbard U.

Lattice parameters (Å, degrees): 5.6835 5.6835 5.2934 97.24 97.24 119.47
Closest atoms and distances in Å follow each position.
Positions (direct):
Li 0.1342 0.8658 0.0000  4 O 2.05-2.11
Li 0.8658 0.1342 0.0000  4 O 2.05-2.11
Cd 0.3380 0.6620 0.5000  6 O 2.34-2.37
Cd 0.6620 0.3380 0.5000  6 O 2.34-2.37
Mo 0.0000 0.0000 0.5000  6 O 1.96-1.97
O 0.0435 0.3323 0.7178  1 Mo 1.97, 1 Li 2.05
O 0.2184 0.2184 0.2692  1 Mo 1.96, 2 Li 2.11
O 0.3323 0.0435 0.7178  1 Mo 1.97, 1 Li 2.05
O 0.6677 0.9565 0.2822  1 Mo 1.97, 1 Li 2.05
O 0.7816 0.7816 0.7308  1 Mo 1.96, 2 Li 2.11
O 0.9565 0.6677 0.2822  1 Mo 1.97, 1 Li 2.05

Properties
SG: No. 12
total DFT energy (no corrections): -5.295 eV per atom